Computed, not measured: PrDyIO6 after structural relaxation at the PBE level of DFT.

Output
- Formation energy from raw total energies: -1751 kJ/mol of formula units
- Crystal system: trigonal
- Energy: -117.66 eV for the cell shown

abc: 5.6698 5.6698 9.9876
angles: 90.00 90.00 120.00
Space group P-31c (No. 163)
Asymmetric unit:
1 Pr 0.0000 0.0000 0.0000 (multiplicity 2)
2 Dy 0.3333 0.6667 0.2500 (multiplicity 2)
3 I 0.3333 0.6667 0.7500 (multiplicity 2)
4 O 0.0348 0.3720 0.6382 (multiplicity 12)